(1)
Below is a relaxed RbGa3Tc crystal, with properties calculated at the PBE level.

size of the total moment = 0.00 μB per atom
final energy = -0.2988 Ry/atom
distance to the lowest polymorph of the same formula = 161.1 meV/atom

a b c (Å): 13.715 13.715 13.715
angles (deg): 90.00 90.00 90.00
Space group Fd-3m (No. 227, origin choice 2)
One atom of each set of equivalent atoms:
Rb 0.000 0.000 0.000 [16 per cell]
Ga 0.030 0.375 0.875 [48 per cell]
Tc 0.000 0.000 0.500 [16 per cell]


(2)
Below is a relaxed MgScCd crystal, with properties calculated at the PBE level.

size of the total moment = 0.12 μB per atom
final energy = -0.2282 Ry/atom

a b c (Å): 3.176 3.176 13.233
angles (deg): 90.00 90.00 90.00
Space group I4mm (No. 107)
One atom of each set of equivalent atoms:
Mg 0.000 0.000 0.000 [2 per cell]
Sc 0.000 0.000 0.323 [2 per cell]
Cd 0.000 0.000 0.662 [2 per cell]


(3)
Below is a relaxed NdHo5In crystal, with properties calculated at the PBE level.

size of the total moment = 0.00 μB per atom
final energy = -0.2680 Ry/atom

a b c (Å): 7.915 11.464 6.219
angles (deg): 90.00 90.00 90.00
Space group Imm2 (No. 44)
One atom of each set of equivalent atoms:
Nd 0.000 0.000 0.000 [2 per cell]
Ho 0.000 0.254 0.587 [4 per cell]
Ho 0.000 0.500 0.285 [2 per cell]
Ho 0.187 0.000 0.498 [4 per cell]
In 0.000 0.500 0.758 [2 per cell]


(4)
Below is a relaxed Ca2NpGe3Pt4 crystal, with properties calculated at the PBE level.

size of the total moment = 0.39 μB per atom
final energy = -0.4562 Ry/atom

a b c (Å): 4.313 4.313 11.133
angles (deg): 90.00 90.00 90.00
Space group P-4m2 (No. 115)
One atom of each set of equivalent atoms:
Ca 0.000 0.500 0.227 [2 per cell]
Np 0.000 0.000 0.500 [1 per cell]
Ge 0.000 0.500 0.878 [2 per cell]
Ge 0.500 0.500 0.500 [1 per cell]
Pt 0.000 0.000 0.000 [1 per cell]
Pt 0.000 0.500 0.659 [2 per cell]
Pt 0.500 0.500 0.000 [1 per cell]


Result set for energy of formation: 0.09; -0.47; 4.88; -7.10 eV/f.u., one per record in the order listed.